Entry 1:
Density functional theory data (GGA-PBE) for a relaxed structure of SrRhW2.

Calculated values
Final energy = -29.58 eV for the cell shown
Energy of formation = 1339 meV per atom

Cell lengths 5.041, 5.041, 2.874 Å; angles 90.00, 90.00, 90.00 degrees
Sites, in units of the cell vectors:
W  0.000  0.000  0.000
W  0.500  0.500  0.000
Sr  0.000  0.500  0.500
Rh  0.500  0.000  0.500



Entry 2:
Density functional theory data (GGA-PBE) for a relaxed structure of SrRh2W.

Calculated values
Final energy = -29.31 eV for the cell shown
Energy of formation = 6 meV per atom

Cell lengths 3.141, 3.141, 7.753 Å; angles 90.00, 90.00, 90.00 degrees
Sites, in units of the cell vectors:
Rh  0.000  0.000  0.940
Rh  0.000  0.000  0.560
Sr  0.500  0.500  0.250
W  0.500  0.500  0.750



Entry 3:
Density functional theory data (GGA-PBE) for a relaxed structure of SrRhW2.

Calculated values
Final energy = -32.73 eV for the cell shown
Energy of formation = 552 meV per atom

Cell lengths 2.905, 2.905, 9.020 Å; angles 90.00, 90.00, 90.00 degrees
Sites, in units of the cell vectors:
Sr  0.500  0.500  0.731
W  0.500  0.500  0.272
W  0.000  0.000  0.041
Rh  0.000  0.000  0.455



Entry 4:
Density functional theory data (GGA-PBE) for a relaxed structure of SrRhW2.

Calculated values
Final energy = -31.99 eV for the cell shown
Energy of formation = 737 meV per atom

Cell lengths 10.213, 10.213, 10.213 Å; angles 16.39, 16.39, 16.39 degrees
Sites, in units of the cell vectors:
W  0.245  0.245  0.245
W  0.991  0.991  0.991
Sr  0.754  0.754  0.754
Rh  0.510  0.510  0.510



Entry 5:
Density functional theory data (GGA-PBE) for a relaxed structure of SrRhW2.

Calculated values
Final energy = -31.12 eV for the cell shown
Energy of formation = 956 meV per atom

Cell lengths 5.142, 3.868, 3.868 Å; angles 90.00, 90.00, 90.00 degrees
Sites, in units of the cell vectors:
W  0.000  0.500  0.500
W  0.000  0.000  0.000
Rh  0.500  0.500  0.000
Sr  0.500  0.000  0.500



Entry 6:
Density functional theory data (GGA-PBE) for a relaxed structure of SrRh3W.

Calculated values
Final energy = -34.97 eV for the cell shown
Energy of formation = 344 meV per atom

Cell lengths 4.805, 4.805, 4.805 Å; angles 90.00, 90.00, 90.00 degrees
Sites, in units of the cell vectors:
Rh  0.000  0.500  0.000
Rh  0.000  0.000  0.500
Rh  0.500  0.000  0.000
W  0.000  0.000  0.000
Sr  0.500  0.500  0.500



Entry 7:
Density functional theory data (GGA-PBE) for a relaxed structure of SrRhW2.

Calculated values
Final energy = -31.07 eV for the cell shown
Energy of formation = 967 meV per atom

Cell lengths 5.679, 5.679, 2.776 Å; angles 90.00, 90.00, 123.33 degrees
Sites, in units of the cell vectors:
W  0.000  0.000  0.000
W  0.500  0.500  0.000
Rh  0.500  0.000  0.500
Sr  0.000  0.500  0.500



Entry 8:
Density functional theory data (GGA-PBE) for a relaxed structure of SrRhW2.

Calculated values
Final energy = -31.47 eV for the cell shown
Energy of formation = 867 meV per atom

Cell lengths 5.248, 5.787, 2.813 Å; angles 81.13, 78.70, 113.94 degrees
Sites, in units of the cell vectors:
Sr  0.500  0.500  0.000
W  0.000  0.000  0.000
W  0.500  0.000  0.500
Rh  0.000  0.500  0.500



Entry 9:
Density functional theory data (GGA-PBE) for a relaxed structure of SrRh2W.

Calculated values
Final energy = -27.22 eV for the cell shown
Energy of formation = 529 meV per atom

Cell lengths 2.922, 2.922, 8.771 Å; angles 90.00, 90.00, 90.02 degrees
Sites, in units of the cell vectors:
Rh  0.000  0.000  0.997
Rh  0.500  0.500  0.217
W  0.500  0.500  0.807
Sr  0.000  0.000  0.479



Entry 10:
Density functional theory data (GGA-PBE) for a relaxed structure of SrRh2W.

Calculated values
Final energy = -29.08 eV for the cell shown
Energy of formation = 65 meV per atom

Cell lengths 6.139, 6.139, 6.139 Å; angles 41.01, 41.01, 41.01 degrees
Sites, in units of the cell vectors:
Sr  0.250  0.250  0.250
W  0.750  0.750  0.750
Rh  0.046  0.046  0.046
Rh  0.454  0.454  0.454



Entry 11:
Density functional theory data (GGA-PBE) for a relaxed structure of SrRhW2.

Calculated values
Final energy = -32.76 eV for the cell shown
Energy of formation = 545 meV per atom

Cell lengths 2.901, 2.901, 9.147 Å; angles 90.00, 90.00, 101.85 degrees
Sites, in units of the cell vectors:
W  0.000  0.000  0.040
W  0.500  0.500  0.263
Rh  0.000  0.000  0.462
Sr  0.500  0.500  0.735



Entry 12:
Density functional theory data (GGA-PBE) for a relaxed structure of Sr2RhW2.

Calculated values
Final energy = -66.39 eV for the cell shown
Energy of formation = 685 meV per atom

Cell lengths 6.645, 6.645, 5.430 Å; angles 90.00, 90.00, 90.00 degrees
Sites, in units of the cell vectors:
W  0.870  0.630  0.000
W  0.130  0.370  0.000
W  0.370  0.870  0.000
W  0.630  0.130  0.000
Rh  0.500  0.500  0.000
Rh  0.000  0.000  0.000
Sr  0.822  0.322  0.500
Sr  0.678  0.822  0.500
Sr  0.178  0.678  0.500
Sr  0.322  0.178  0.500